Material: Sm3Cd3Cu2Au
Method: DFT, GGA-PBE
State: optimized geometry

* E: -3.4416 eV per atom
* symmetry: P-62m
* mass density: 9.1 Mg/m³
* ΔH_f (0 K): -0.384 eV per atom

a b c (Å): 7.589 7.589 4.066
angles (deg): 90.00 90.00 120.00
Element x y z (fractional)
Sm  0.000  0.411  0.000
Sm  0.411  0.000  0.000
Sm  0.589  0.589  0.000
Cd  0.000  0.737  0.500
Cd  0.263  0.263  0.500
Cd  0.737  0.000  0.500
Cu  0.333  0.667  0.500
Cu  0.667  0.333  0.500
Au  0.000  0.000  0.000